No. 1
# Rb2TcHCl6 PBE relaxed
data_Rb2TcHCl6
_symmetry_space_group_name_H-M 'P 1'
_symmetry_Int_Tables_number 1
_symmetry_space_group_name_Hall 'P 1'
_cell_length_a 7.887
_cell_length_b 7.887
_cell_length_c 7.196
_cell_angle_alpha 56.77
_cell_angle_beta 56.77
_cell_angle_gamma 90.00
loop_
_atom_site_label
_atom_site_fract_x
_atom_site_fract_y
_atom_site_fract_z
H1 0.500 0.500 0.000
Tc1 0.000 0.000 0.000
Rb1 0.750 0.250 0.500
Rb2 0.250 0.750 0.500
Cl1 0.327 0.327 0.346
Cl2 0.673 0.673 0.654
Cl3 0.212 0.212 0.000
Cl4 0.788 0.788 0.000
Cl5 0.788 0.212 0.000
Cl6 0.212 0.788 0.000
# Volume = 283 Å³/f.u.
# Calculated density = 2833 kg/m³
# Space-group type = I4/mmm
# E_tot = -37.69 eV/f.u.

No. 2
# Pr3Dy8Y4 PBE relaxed
data_Pr3Dy8Y4
_symmetry_space_group_name_H-M 'P 1'
_symmetry_Int_Tables_number 1
_symmetry_space_group_name_Hall 'P 1'
_cell_length_a 6.809
_cell_length_b 9.306
_cell_length_c 9.306
_cell_angle_alpha 87.21
_cell_angle_beta 111.46
_cell_angle_gamma 111.46
loop_
_atom_site_label
_atom_site_fract_x
_atom_site_fract_y
_atom_site_fract_z
Pr1 0.500 0.500 0.000
Pr2 0.500 0.000 0.500
Pr3 0.500 0.500 0.500
Dy1 0.542 0.270 0.270
Dy2 0.000 0.641 0.359
Dy3 0.011 0.264 0.264
Dy4 0.500 0.745 0.255
Dy5 0.500 0.255 0.745
Dy6 0.989 0.736 0.736
Dy7 0.000 0.359 0.641
Dy8 0.458 0.730 0.730
Y1 0.500 0.000 0.000
Y2 0.000 0.500 0.000
Y3 0.000 0.000 0.000
Y4 0.000 0.000 0.500
# Volume = 508 Å³/f.u.
# Calculated density = 6789 kg/m³
# Space-group type = C2/m
# E_form = 0.384 eV per atom

No. 3
# Hf2CuS4 PBE relaxed
data_Hf2CuS4
_symmetry_space_group_name_H-M 'P 1'
_symmetry_Int_Tables_number 1
_symmetry_space_group_name_Hall 'P 1'
_cell_length_a 7.323
_cell_length_b 7.323
_cell_length_c 7.324
_cell_angle_alpha 60.01
_cell_angle_beta 60.01
_cell_angle_gamma 89.96
loop_
_atom_site_label
_atom_site_fract_x
_atom_site_fract_y
_atom_site_fract_z
Hf1 0.500 0.500 0.500
Hf2 0.500 0.000 0.500
Hf3 0.000 0.000 0.000
Hf4 0.500 0.000 0.000
Cu1 0.875 0.625 0.750
Cu2 0.125 0.375 0.250
S1 0.253 0.757 0.995
S2 0.747 0.243 0.005
S3 0.257 0.753 0.495
S4 0.252 0.248 0.505
S5 0.252 0.248 0.995
S6 0.748 0.752 0.495
S7 0.743 0.247 0.505
S8 0.748 0.752 0.005
# Formation energy from raw total energies = -9.2 eV per formula unit
# Volume = 139 Å³/f.u.
# Calculated density = 6558 kg/m³
# Space-group type = I4_1/amd
# E above lowest polymorph = 0 meV/atom